[1]
# SCAN MgSe2, PBEsol geometry
data_MgSe2
_chemical_formula_sum 'Mg2 Se4'
_cell_length_a 7.111
_cell_length_b 7.111
_cell_length_c 2.826
_cell_angle_alpha 90.00
_cell_angle_beta 90.00
_cell_angle_gamma 90.00
_symmetry_space_group_name_H-M 'P 42/m n m'
_symmetry_Int_Tables_number 136
_symmetry_space_group_name_Hall '-P 4n 2n'
loop_
_atom_site_label
_atom_site_fract_x
_atom_site_fract_y
_atom_site_fract_z
Mg1 0.000 0.000 0.000
Se1 0.219 0.219 0.500
# ρ = 4.23 g/cm3
# crystal system = tetragonal
# formation energy from raw total energies = -43 kJ/mol of atoms
# magnetic moment = 0.005 Bohr magnetons per cell

=====

[2]
# SCAN Mg2Se, PBEsol geometry
data_Mg2Se
_chemical_formula_sum 'Mg4 Se2'
_cell_length_a 3.410
_cell_length_b 3.410
_cell_length_c 11.091
_cell_angle_alpha 90.00
_cell_angle_beta 90.00
_cell_angle_gamma 90.00
_symmetry_space_group_name_H-M 'I 4/m m m'
_symmetry_Int_Tables_number 139
_symmetry_space_group_name_Hall '-I 4 2'
loop_
_atom_site_label
_atom_site_fract_x
_atom_site_fract_y
_atom_site_fract_z
Mg1 0.000 0.000 0.142
Se1 0.000 0.000 0.500
# ρ = 3.29 g/cm3
# crystal system = tetragonal
# formation energy from raw total energies = -47 kJ/mol of atoms
# magnetic moment = 0.002 Bohr magnetons per cell

=====

[3]
# SCAN MgSe2, PBEsol geometry
data_MgSe2
_chemical_formula_sum 'Mg2 Se4'
_cell_length_a 5.211
_cell_length_b 6.451
_cell_length_c 4.078
_cell_angle_alpha 90.00
_cell_angle_beta 90.00
_cell_angle_gamma 90.00
_symmetry_space_group_name_H-M 'P n n m'
_symmetry_Int_Tables_number 58
loop_
_symmetry_equiv_pos_as_xyz
'x,y,z'
'-x,-y,-z'
'-x,-y,z'
'x,y,-z'
'x+1/2,-y+1/2,-z+1/2'
'-x+1/2,y+1/2,z+1/2'
'-x+1/2,y+1/2,-z+1/2'
'x+1/2,-y+1/2,z+1/2'
loop_
_atom_site_label
_atom_site_fract_x
_atom_site_fract_y
_atom_site_fract_z
Mg1 0.000 0.000 0.000
Se1 0.184 0.390 0.000
# ρ = 4.41 g/cm3
# crystal system = orthorhombic
# formation energy from raw total energies = -92 kJ/mol of atoms
# magnetic moment = 0.000 Bohr magnetons per cell

=====

[4]
# SCAN MgSi2Se, PBEsol geometry
data_MgSi2Se
_chemical_formula_sum 'Mg2 Si4 Se2'
_cell_length_a 3.653
_cell_length_b 3.653
_cell_length_c 10.842
_cell_angle_alpha 90.00
_cell_angle_beta 90.00
_cell_angle_gamma 90.00
_symmetry_space_group_name_H-M 'I 4/m m m'
_symmetry_Int_Tables_number 139
_symmetry_space_group_name_Hall '-I 4 2'
loop_
_atom_site_label
_atom_site_fract_x
_atom_site_fract_y
_atom_site_fract_z
Mg1 0.000 0.000 0.000
Si1 0.000 0.500 0.250
Se1 0.000 0.000 0.500
# energy above the most stable polymorph in this dataset = 176 meV/atom
# ρ = 3.66 g/cm3
# crystal system = tetragonal
# formation energy from raw total energies = 12 kJ/mol of atoms
# magnetic moment = 0.000 Bohr magnetons per cell

=====

[5]
# SCAN MgSi2Se, PBEsol geometry
data_MgSi2Se
_chemical_formula_sum 'Mg4 Si8 Se4'
_cell_length_a 6.620
_cell_length_b 6.620
_cell_length_c 6.620
_cell_angle_alpha 90.00
_cell_angle_beta 90.00
_cell_angle_gamma 90.00
_symmetry_space_group_name_H-M 'F m -3 m'
_symmetry_Int_Tables_number 225
_symmetry_space_group_name_Hall '-F 4 2 3'
loop_
_atom_site_label
_atom_site_fract_x
_atom_site_fract_y
_atom_site_fract_z
Mg1 0.000 0.000 0.000
Si1 0.250 0.250 0.250
Se1 0.000 0.000 0.500
# energy above the most stable polymorph in this dataset = 703 meV/atom
# ρ = 3.65 g/cm3
# crystal system = cubic
# formation energy from raw total energies = 62 kJ/mol of atoms
# magnetic moment = 0.000 Bohr magnetons per cell

=====

[6]
# SCAN MgSi2Se, PBEsol geometry
data_MgSi2Se
_chemical_formula_sum 'Mg2 Si4 Se2'
_cell_length_a 11.375
_cell_length_b 3.641
_cell_length_c 3.645
_cell_angle_alpha 90.00
_cell_angle_beta 100.82
_cell_angle_gamma 90.00
_symmetry_space_group_name_H-M 'C 1 2/m 1'
_symmetry_Int_Tables_number 12
loop_
_symmetry_equiv_pos_as_xyz
'x,y,z'
'-x,-y,-z'
'-x,y,-z'
'x,-y,z'
'x+1/2,y+1/2,z'
'-x+1/2,-y+1/2,-z'
'-x+1/2,y+1/2,-z'
'x+1/2,-y+1/2,z'
loop_
_atom_site_label
_atom_site_fract_x
_atom_site_fract_y
_atom_site_fract_z
Mg1 0.000 0.000 0.000
Si1 0.238 0.500 0.753
Se1 0.000 0.500 0.500
# energy above the most stable polymorph in this dataset = 0 meV/atom
# ρ = 3.57 g/cm3
# crystal system = monoclinic
# formation energy from raw total energies = -5 kJ/mol of atoms
# magnetic moment = 0.000 Bohr magnetons per cell

=====

[7]
# SCAN MgSn3Se, PBEsol geometry
data_MgSn3Se
_chemical_formula_sum 'Mg1 Sn3 Se1'
_cell_length_a 5.296
_cell_length_b 5.296
_cell_length_c 5.296
_cell_angle_alpha 90.00
_cell_angle_beta 90.00
_cell_angle_gamma 90.00
_symmetry_space_group_name_H-M 'P m -3 m'
_symmetry_Int_Tables_number 221
_symmetry_space_group_name_Hall '-P 4 2 3'
loop_
_atom_site_label
_atom_site_fract_x
_atom_site_fract_y
_atom_site_fract_z
Mg1 0.000 0.000 0.000
Sn1 0.000 0.000 0.500
Se1 0.500 0.500 0.500
# ρ = 5.13 g/cm3
# crystal system = cubic
# formation energy from raw total energies = 52 kJ/mol of atoms
# magnetic moment = 0.000 Bohr magnetons per cell

=====

[8]
# SCAN SrMgSe, PBEsol geometry
data_SrMgSe
_chemical_formula_sum 'Sr4 Mg4 Se4'
_cell_length_a 7.187
_cell_length_b 7.187
_cell_length_c 7.187
_cell_angle_alpha 90.00
_cell_angle_beta 90.00
_cell_angle_gamma 90.00
_symmetry_space_group_name_H-M 'F -4 3 m'
_symmetry_Int_Tables_number 216
_symmetry_space_group_name_Hall 'F -4 2 3'
loop_
_atom_site_label
_atom_site_fract_x
_atom_site_fract_y
_atom_site_fract_z
Sr1 0.000 0.000 0.000
Mg1 0.250 0.250 0.250
Se1 0.000 0.000 0.500
# energy above the most stable polymorph in this dataset = 568 meV/atom
# ρ = 3.41 g/cm3
# crystal system = cubic
# formation energy from raw total energies = -39 kJ/mol of atoms
# magnetic moment = 0.000 Bohr magnetons per cell